A plane-wave DFT calculation with GGA-PBE was carried out for an optimized crystal structure of BaLiTbTe3.

Its energy relative to the lowest polymorph listed for this composition is 0.33 kcal/mol of atoms. Its total DFT energy (no corrections) is -4.44 eV per atom. Its total moment is 0.0 μB/cell. Its symmetry is P2_1/m, No. 11.

Lattice parameters (Å, degrees): 9.3185 4.5480 10.0367 90.00 105.39 90.00
Fractional positions:
Ba 0.8011 0.7500 0.2501
Ba 0.1989 0.2500 0.7499
Li 0.0864 0.2500 0.0922
Li 0.9136 0.7500 0.9078
Tb 0.3244 0.7500 0.3441
Tb 0.6756 0.2500 0.6559
Te 0.2232 0.7500 0.0258
Te 0.5507 0.2500 0.3346
Te 0.1050 0.2500 0.3721
Te 0.8950 0.7500 0.6279
Te 0.4493 0.7500 0.6654
Te 0.7768 0.2500 0.9742